Entry 1:
A plane-wave DFT calculation with PBE was carried out for an optimized crystal structure of ErVPt6.

Cell lengths 4.005, 4.005, 8.052 Å; angles 90.00, 90.00, 90.00 degrees
Positions (direct):
Er1 0.000 0.000 0.000
V1 0.000 0.000 0.500
Pt1 0.000 0.500 0.266
Pt2 0.000 0.500 0.734
Pt3 0.500 0.000 0.266
Pt4 0.500 0.000 0.734
Pt5 0.500 0.500 0.000
Pt6 0.500 0.500 0.500

Summary:
Total magnetization: 0.754 μB/f.u.
Electronic total energy: -7.00 eV per atom

---

Entry 2:
A plane-wave DFT calculation with PBE was carried out for an optimized crystal structure of Er3PdI3.

Cell lengths 10.527, 10.527, 10.527 Å; angles 109.47, 109.47, 109.47 degrees
Positions (direct):
Er1 0.023 0.046 0.273
Er2 0.023 0.477 0.750
Er3 0.046 0.273 0.023
Er4 0.227 0.273 0.750
Er5 0.227 0.454 0.477
Er6 0.273 0.023 0.046
Er7 0.273 0.750 0.227
Er8 0.454 0.477 0.227
Er9 0.477 0.227 0.454
Er10 0.477 0.750 0.023
Er11 0.750 0.023 0.477
Er12 0.750 0.227 0.273
Pd1 0.000 0.250 0.500
Pd2 0.250 0.250 0.250
Pd3 0.250 0.500 0.000
Pd4 0.500 0.000 0.250
I1 0.250 0.758 0.742
I2 0.250 0.992 0.508
I3 0.508 0.250 0.992
I4 0.508 0.758 0.516
I5 0.516 0.508 0.758
I6 0.742 0.250 0.758
I7 0.742 0.992 0.984
I8 0.758 0.516 0.508
I9 0.758 0.742 0.250
I10 0.984 0.742 0.992
I11 0.992 0.508 0.250
I12 0.992 0.984 0.742

Summary:
Energy relative to the elements, uncorrected: -1.016 eV per atom
Total magnetization: 0.000 μB/f.u.

---

Entry 3:
A plane-wave DFT calculation with PBE was carried out for an optimized crystal structure of BiAsC.

Cell lengths 4.483, 4.267, 8.417 Å; angles 90.00, 93.35, 90.00 degrees
Positions (direct):
Bi1 0.004 0.000 0.182
Bi2 0.996 0.000 0.818
As1 0.434 0.500 0.203
As2 0.566 0.500 0.797
C1 0.478 0.500 0.427
C2 0.522 0.500 0.573

Summary:
Energy above the lowest structure with this stoichiometry: 0.00 eV/f.u.
Total magnetization: 0.000 μB/f.u.

---

Entry 4:
A plane-wave DFT calculation with PBE was carried out for an optimized crystal structure of LaAlZn6Cu.

Cell lengths 8.766, 8.766, 8.766 Å; angles 144.18, 122.96, 69.21 degrees
Positions (direct):
La1 0.252 0.002 0.250
La2 0.748 0.998 0.750
Al1 0.000 0.500 0.500
Al2 0.500 0.500 0.000
Zn1 0.003 0.253 0.750
Zn2 0.143 0.397 0.227
Zn3 0.143 0.916 0.746
Zn4 0.330 0.084 0.727
Zn5 0.330 0.603 0.246
Zn6 0.358 0.608 0.750
Zn7 0.642 0.392 0.250
Zn8 0.670 0.397 0.754
Zn9 0.670 0.916 0.273
Zn10 0.857 0.084 0.254
Zn11 0.857 0.603 0.773
Zn12 0.997 0.747 0.250
Cu1 0.500 0.000 0.000
Cu2 0.500 0.500 0.500

Summary:
Total magnetization: 0.000 μB/f.u.
Electronic total energy: -2.41 eV per atom

---

Entry 5:
A plane-wave DFT calculation with PBE was carried out for an optimized crystal structure of LaSm2FeN4.

Cell lengths 6.145, 6.145, 11.902 Å; angles 90.00, 90.00, 147.09 degrees
Positions (direct):
La1 0.118 0.882 0.750
La2 0.882 0.118 0.250
Sm1 0.368 0.632 0.545
Sm2 0.368 0.632 0.955
Sm3 0.632 0.368 0.045
Sm4 0.632 0.368 0.455
Fe1 0.161 0.839 0.250
Fe2 0.839 0.161 0.750
N1 0.000 0.000 0.000
N2 0.000 0.000 0.500
N3 0.269 0.731 0.133
N4 0.269 0.731 0.367
N5 0.400 0.600 0.750
N6 0.600 0.400 0.250
N7 0.731 0.269 0.633
N8 0.731 0.269 0.867

Summary:
Energy relative to the elements, uncorrected: -1.018 eV per atom
Total magnetization: 0.000 μB/f.u.

---

Entry 6:
A plane-wave DFT calculation with PBE was carried out for an optimized crystal structure of TbPm2Ho.

Cell lengths 11.870, 11.870, 11.870 Å; angles 17.43, 17.43, 17.43 degrees
Positions (direct):
Tb1 0.000 0.000 0.000
Pm1 0.250 0.250 0.250
Pm2 0.750 0.750 0.750
Ho1 0.500 0.500 0.500

Summary:
Energy above the lowest structure with this stoichiometry: 0.00 eV/f.u.
Total magnetization: 0.000 μB/f.u.

---

- What is the total magnetization in the third record?
  0.000 μB/f.u.

---

What did the sixth record say?
A plane-wave DFT calculation with PBE was carried out for an optimized crystal structure of TbPm2Ho.

Cell lengths 11.870, 11.870, 11.870 Å; angles 17.43, 17.43, 17.43 degrees
Positions (direct):
Tb1 0.000 0.000 0.000
Pm1 0.250 0.250 0.250
Pm2 0.750 0.750 0.750
Ho1 0.500 0.500 0.500

Summary:
Energy above the lowest structure with this stoichiometry: 0.00 eV/f.u.
Total magnetization: 0.000 μB/f.u.

---

- Which value of total magnetization does entry 5 give?
  0.000 μB/f.u.